DFT (PBE) results for an optimized crystal structure of RbDyPt4.

Cell and atoms, written as CIF:
```
data_RbDyPt4
_chemical_formula_sum 'Rb4 Dy4 Pt16'
_symmetry_space_group_name_H-M 'F -4 3 m'
_symmetry_Int_Tables_number 216
_symmetry_space_group_name_Hall 'F -4 2 3'
_cell_length_a 7.807
_cell_length_b 7.807
_cell_length_c 7.807
_cell_angle_alpha 90.00
_cell_angle_beta 90.00
_cell_angle_gamma 90.00
loop_
_atom_site_label
_atom_site_fract_x
_atom_site_fract_y
_atom_site_fract_z
_atom_site_occupancy
Rb1 0.000 0.000 0.000 1
Dy1 0.250 0.250 0.750 1
Pt1 0.125 0.125 0.375 1
```

Output
Its total DFT energy (no corrections) is -5.50 eV/atom.

***

DFT (PBE) results for an optimized crystal structure of Dy2PtRh.

Cell and atoms, written as CIF:
```
data_Dy2PtRh
_chemical_formula_sum 'Dy2 Pt1 Rh1'
_symmetry_space_group_name_H-M 'P 4/m m m'
_symmetry_Int_Tables_number 123
_symmetry_space_group_name_Hall '-P 4 2'
_cell_length_a 3.453
_cell_length_b 3.453
_cell_length_c 6.933
_cell_angle_alpha 90.00
_cell_angle_beta 90.00
_cell_angle_gamma 90.00
loop_
_atom_site_label
_atom_site_fract_x
_atom_site_fract_y
_atom_site_fract_z
_atom_site_occupancy
Dy1 0.000 0.000 0.245 1
Pt1 0.500 0.500 0.500 1
Rh1 0.500 0.500 0.000 1
```

Output
Its total DFT energy (no corrections) is -6.71 eV/atom.

***

DFT (PBE) results for an optimized crystal structure of Dy4PtRh2.

Cell and atoms, written as CIF:
```
data_Dy4PtRh2
_chemical_formula_sum 'Dy12 Pt3 Rh6'
_symmetry_space_group_name_H-M 'R -3 m'
_symmetry_Int_Tables_number 166
_symmetry_space_group_name_Hall '-R 3 2"'
_cell_length_a 4.8274
_cell_length_b 4.8274
_cell_length_c 23.9155
_cell_angle_alpha 90.00
_cell_angle_beta 90.00
_cell_angle_gamma 120.00
loop_
_atom_site_label
_atom_site_fract_x
_atom_site_fract_y
_atom_site_fract_z
_atom_site_occupancy
Dy1 0.0000 0.0000 0.1232 1
Dy2 0.0000 0.0000 0.3742 1
Pt1 0.0000 0.0000 0.5000 1
Rh1 0.0000 0.0000 0.2498 1
```

Output
Its total DFT energy (no corrections) is -6.47 eV/atom.

***

DFT (PBE) results for an optimized crystal structure of Dy3PtRh2.

Cell and atoms, written as CIF:
```
data_Dy3PtRh2
_chemical_formula_sum 'Dy6 Pt2 Rh4'
_symmetry_space_group_name_H-M 'P -3 m 1'
_symmetry_Int_Tables_number 164
_symmetry_space_group_name_Hall '-P 3 2"'
_cell_length_a 4.8734
_cell_length_b 4.8734
_cell_length_c 11.9437
_cell_angle_alpha 90.00
_cell_angle_beta 90.00
_cell_angle_gamma 120.00
loop_
_atom_site_label
_atom_site_fract_x
_atom_site_fract_y
_atom_site_fract_z
_atom_site_occupancy
Dy1 0.0000 0.0000 0.2478 1
Dy2 0.3333 0.6667 0.4161 1
Dy3 0.3333 0.6667 0.9182 1
Pt1 0.3333 0.6667 0.6665 1
Rh1 0.0000 0.0000 0.0000 1
Rh2 0.0000 0.0000 0.5000 1
Rh3 0.3333 0.6667 0.1642 1
```

Output
Its total DFT energy (no corrections) is -6.75 eV/atom.

***

DFT (PBE) results for an optimized crystal structure of DyPt4Rh.

Cell and atoms, written as CIF:
```
data_DyPt4Rh
_chemical_formula_sum 'Dy4 Pt16 Rh4'
_symmetry_space_group_name_H-M 'F -4 3 m'
_symmetry_Int_Tables_number 216
_symmetry_space_group_name_Hall 'F -4 2 3'
_cell_length_a 7.509
_cell_length_b 7.509
_cell_length_c 7.509
_cell_angle_alpha 90.00
_cell_angle_beta 90.00
_cell_angle_gamma 90.00
loop_
_atom_site_label
_atom_site_fract_x
_atom_site_fract_y
_atom_site_fract_z
_atom_site_occupancy
Dy1 0.000 0.000 0.000 1
Pt1 0.124 0.124 0.624 1
Rh1 0.250 0.250 0.250 1
```

Output
Its total DFT energy (no corrections) is -6.56 eV/atom.

***

DFT (PBE) results for an optimized crystal structure of Dy2Pt3Rh3.

Cell and atoms, written as CIF:
```
data_Dy2Pt3Rh3
_chemical_formula_sum 'Dy2 Pt3 Rh3'
_symmetry_space_group_name_H-M 'P m m m'
_symmetry_Int_Tables_number 47
_symmetry_space_group_name_Hall '-P 2 2'
_cell_length_a 4.084
_cell_length_b 4.112
_cell_length_c 8.088
_cell_angle_alpha 90.00
_cell_angle_beta 90.00
_cell_angle_gamma 90.00
loop_
_atom_site_label
_atom_site_fract_x
_atom_site_fract_y
_atom_site_fract_z
_atom_site_occupancy
Dy1 0.000 0.000 0.247 1
Pt1 0.000 0.500 0.500 1
Pt2 0.500 0.500 0.249 1
Rh1 0.000 0.500 0.000 1
Rh2 0.500 0.000 0.000 1
Rh3 0.500 0.000 0.500 1
```

Output
Its total DFT energy (no corrections) is -6.95 eV/atom.

***

DFT (PBE) results for an optimized crystal structure of DyPtRh.

Cell and atoms, written as CIF:
```
data_DyPtRh
_chemical_formula_sum 'Dy2 Pt2 Rh2'
_symmetry_space_group_name_H-M 'I 4 m m'
_symmetry_Int_Tables_number 107
_symmetry_space_group_name_Hall 'I 4 -2'
_cell_length_a 3.104
_cell_length_b 3.104
_cell_length_c 13.749
_cell_angle_alpha 90.00
_cell_angle_beta 90.00
_cell_angle_gamma 90.00
loop_
_atom_site_label
_atom_site_fract_x
_atom_site_fract_y
_atom_site_fract_z
_atom_site_occupancy
Dy1 0.000 0.000 0.000 1
Pt1 0.000 0.000 0.628 1
Rh1 0.000 0.000 0.818 1
```

Output
As for the energy above the most stable polymorph in this dataset: 1101 meV per atom. Its total DFT energy (no corrections) is -5.84 eV/atom.

***

DFT (PBE) results for an optimized crystal structure of Dy7Pt2Rh2.

Cell and atoms, written as CIF:
```
data_Dy7Pt2Rh2
_chemical_formula_sum 'Dy14 Pt4 Rh4'
_symmetry_space_group_name_H-M 'C m m m'
_symmetry_Int_Tables_number 65
_symmetry_space_group_name_Hall '-C 2 2'
_cell_length_a 8.288
_cell_length_b 10.353
_cell_length_c 6.878
_cell_angle_alpha 90.00
_cell_angle_beta 90.00
_cell_angle_gamma 90.00
loop_
_atom_site_label
_atom_site_fract_x
_atom_site_fract_y
_atom_site_fract_z
_atom_site_occupancy
Dy1 0.000 0.000 0.000 1
Dy2 0.000 0.500 0.255 1
Dy3 0.250 0.250 0.261 1
Pt1 0.225 0.000 0.500 1
Rh1 0.000 0.279 0.000 1
```

Output
As for the energy above the most stable polymorph in this dataset: 189 meV per atom. Its total DFT energy (no corrections) is -6.01 eV/atom.

***

DFT (PBE) results for an optimized crystal structure of Dy3PtRh8.

Cell and atoms, written as CIF:
```
data_Dy3PtRh8
_chemical_formula_sum 'Dy9 Pt3 Rh24'
_symmetry_space_group_name_H-M 'R 3 m'
_symmetry_Int_Tables_number 160
_symmetry_space_group_name_Hall 'R 3 -2"'
_cell_length_a 5.2807
_cell_length_b 5.2807
_cell_length_c 25.9207
_cell_angle_alpha 90.00
_cell_angle_beta 90.00
_cell_angle_gamma 120.00
loop_
_atom_site_label
_atom_site_fract_x
_atom_site_fract_y
_atom_site_fract_z
_atom_site_occupancy
Dy1 0.0000 0.0000 0.0000 1
Dy2 0.0000 0.0000 0.1313 1
Dy3 0.0000 0.0000 0.6132 1
Pt1 0.0000 0.0000 0.4901 1
Rh1 0.0000 0.0000 0.3124 1
Rh2 0.0000 0.0000 0.8130 1
Rh3 0.0009 0.5004 0.5618 1
Rh4 0.1670 0.3341 0.3964 1
```

Output
Its total DFT energy (no corrections) is -7.11 eV/atom.

***

DFT (PBE) results for an optimized crystal structure of Dy5PtRh2.

Cell and atoms, written as CIF:
```
data_Dy5PtRh2
_chemical_formula_sum 'Dy20 Pt4 Rh8'
_symmetry_space_group_name_H-M 'I 4/m c m'
_symmetry_Int_Tables_number 140
_symmetry_space_group_name_Hall '-I 4 2c'
_cell_length_a 7.447
_cell_length_b 7.447
_cell_length_c 13.670
_cell_angle_alpha 90.00
_cell_angle_beta 90.00
_cell_angle_gamma 90.00
loop_
_atom_site_label
_atom_site_fract_x
_atom_site_fract_y
_atom_site_fract_z
_atom_site_occupancy
Dy1 0.000 0.000 0.000 1
Dy2 0.169 0.331 0.142 1
Pt1 0.000 0.000 0.250 1
Rh1 0.134 0.366 0.500 1
```

Output
Its total DFT energy (no corrections) is -6.29 eV/atom.

***

DFT (PBE) results for an optimized crystal structure of Dy6PtRh5.

Cell and atoms, written as CIF:
```
data_Dy6PtRh5
_chemical_formula_sum 'Dy6 Pt1 Rh5'
_symmetry_space_group_name_H-M 'P 1 2/m 1'
_symmetry_Int_Tables_number 10
_symmetry_space_group_name_Hall '-P 2y'
_cell_length_a 4.829
_cell_length_b 6.954
_cell_length_c 7.634
_cell_angle_alpha 90.00
_cell_angle_beta 108.25
_cell_angle_gamma 90.00
loop_
_atom_site_label
_atom_site_fract_x
_atom_site_fract_y
_atom_site_fract_z
_atom_site_occupancy
Dy1 0.000 0.248 0.000 1
Dy2 0.332 0.249 0.665 1
Pt1 0.500 0.500 0.000 1
Rh1 0.166 0.000 0.332 1
Rh2 0.169 0.500 0.337 1
Rh3 0.500 0.000 0.000 1
```

Output
Its total DFT energy (no corrections) is -6.80 eV/atom.

***

DFT (PBE) results for an optimized crystal structure of Dy4PtRh.

Cell and atoms, written as CIF:
```
data_Dy4PtRh
_chemical_formula_sum 'Dy8 Pt2 Rh2'
_symmetry_space_group_name_H-M 'C 1 2/m 1'
_symmetry_Int_Tables_number 12
_symmetry_space_group_name_Hall '-C 2y'
_cell_length_a 6.829
_cell_length_b 6.829
_cell_length_c 6.846
_cell_angle_alpha 90.00
_cell_angle_beta 90.09
_cell_angle_gamma 90.00
loop_
_atom_site_label
_atom_site_fract_x
_atom_site_fract_y
_atom_site_fract_z
_atom_site_occupancy
Dy1 0.250 0.250 0.249 1
Pt1 0.000 0.000 0.500 1
Rh1 0.000 0.500 0.000 1
```

Output
Its total DFT energy (no corrections) is -6.03 eV/atom.

***

- Among the records above, which one has the highest total DFT energy (no corrections)?
  RbDyPt4

***

- The highest total DFT energy (no corrections) belongs to which entry?
  RbDyPt4

***

Copy entry 10 word for word.
DFT (PBE) results for an optimized crystal structure of Dy5PtRh2.

Cell and atoms, written as CIF:
```
data_Dy5PtRh2
_chemical_formula_sum 'Dy20 Pt4 Rh8'
_symmetry_space_group_name_H-M 'I 4/m c m'
_symmetry_Int_Tables_number 140
_symmetry_space_group_name_Hall '-I 4 2c'
_cell_length_a 7.447
_cell_length_b 7.447
_cell_length_c 13.670
_cell_angle_alpha 90.00
_cell_angle_beta 90.00
_cell_angle_gamma 90.00
loop_
_atom_site_label
_atom_site_fract_x
_atom_site_fract_y
_atom_site_fract_z
_atom_site_occupancy
Dy1 0.000 0.000 0.000 1
Dy2 0.169 0.331 0.142 1
Pt1 0.000 0.000 0.250 1
Rh1 0.134 0.366 0.500 1
```

Output
Its total DFT energy (no corrections) is -6.29 eV/atom.

***

- Look up the total DFT energy (no corrections) of the eighth one.
  -6.01 eV/atom